Below is crystalline CsYPd at its relaxed geometry, with properties calculated at the PBE level.

Cell: 7.094 7.094 7.094 Å, 90.00 90.00 90.00°
Sites, in units of the cell vectors:
Cs 0.000 0.000 0.000
Cs 0.000 0.500 0.500
Cs 0.500 0.000 0.500
Cs 0.500 0.500 0.000
Y 0.250 0.250 0.250
Y 0.250 0.750 0.750
Y 0.750 0.250 0.750
Y 0.750 0.750 0.250
Pd 0.250 0.250 0.750
Pd 0.250 0.750 0.250
Pd 0.750 0.250 0.250
Pd 0.750 0.750 0.750

Computed properties:
* SG: F-43m, No. 216
* volume: 357.0 Å³ per cell
* electronic total energy: -0.120 hartree per atom